[1]
Computed, not measured: a relaxed Sr2CrCl crystal at the PBE-GGA level of DFT.

The structure in POSCAR format:
```
Sr2CrCl
1.0
5.828 0.000 0.000
2.914 5.047 0.000
2.914 1.682 4.758
Cl Sr Cr
1 2 1
direct
0.500 0.500 0.500
0.250 0.250 0.250
0.000 0.000 0.000
0.750 0.750 0.750
```

Raw formation energy   24.0 kJ per mole of atoms
Energy above the lowest structure with this stoichiometry   668 meV/atom

---

[2]
Computed, not measured: a relaxed Pm2CrGe3Ir4 crystal at the PBE-GGA level of DFT.

The structure in POSCAR format:
```
Pm2CrGe3Ir4
1.0
4.200 0.000 0.000
0.000 4.200 0.000
0.000 0.000 10.303
Ir Ge Cr Pm
4 3 1 2
direct
0.000 0.000 0.000
0.500 0.500 0.000
0.500 0.000 0.628
0.000 0.500 0.372
0.000 0.000 0.500
0.500 0.000 0.867
0.000 0.500 0.133
0.500 0.500 0.500
0.000 0.500 0.747
0.500 0.000 0.253
```

DFT formation energy   -661 meV/atom

---

[3]
Computed, not measured: a relaxed PmFeRh2 crystal at the PBE-GGA level of DFT.

The structure in POSCAR format:
```
PmFeRh2
1.0
3.176 0.000 0.000
0.000 3.176 0.000
0.000 0.000 6.893
Fe Rh Pm
1 2 1
direct
0.500 0.500 0.500
0.000 0.000 0.297
0.000 0.000 0.703
0.500 0.500 0.000
```

DFT formation energy   -215 meV/atom

---

Across the entries above, uncorrected energy takes the values -3.460; -7.503; -7.194 eV/atom, respectively.